Record 1
Tb2HoEr2Tm4 | PBE | relaxed

Calculated total energy (eV/atom): -4.538
Formation energy (eV/atom): 0.00

Cell and atoms, written as POSCAR:
```
Tb2HoEr2Tm4
1.0
9.188 -1.768 0.000
9.188 1.768 0.000
-4.089 0.000 8.452
Tb Ho Er Tm
2 1 2 4
direct
0.148 0.148 0.165 Tb
0.852 0.852 0.835 Tb
0.000 0.000 0.500 Ho
0.333 0.333 0.499 Er
0.667 0.667 0.501 Er
0.185 0.185 0.835 Tm
0.481 0.481 0.167 Tm
0.519 0.519 0.833 Tm
0.815 0.815 0.165 Tm
```



Record 2
Tb2HoEr6Tm | PBE | relaxed

Calculated total energy (eV/atom): -4.449
Formation energy (eV/atom): 0.12

Cell and atoms, written as POSCAR:
```
Tb2HoEr6Tm
1.0
4.459 -7.425 0.000
4.459 7.425 0.000
-1.336 0.000 9.375
Tb Ho Er Tm
4 2 12 2
direct
0.196 0.301 0.044 Tb
0.301 0.196 0.544 Tb
0.699 0.804 0.456 Tb
0.804 0.699 0.956 Tb
0.022 0.978 0.250 Ho
0.978 0.022 0.750 Ho
0.019 0.572 0.186 Er
0.126 0.750 0.557 Er
0.250 0.874 0.943 Er
0.290 0.503 0.380 Er
0.428 0.981 0.314 Er
0.497 0.710 0.120 Er
0.503 0.290 0.880 Er
0.572 0.019 0.686 Er
0.710 0.497 0.620 Er
0.750 0.126 0.057 Er
0.874 0.250 0.443 Er
0.981 0.428 0.814 Er
0.408 0.592 0.750 Tm
0.592 0.408 0.250 Tm
```



Record 3
TbHo5Er2Tm | PBE | relaxed

Calculated total energy (eV/atom): -4.412
Formation energy (eV/atom): 0.16

Cell and atoms, written as POSCAR:
```
TbHo5Er2Tm
1.0
2.766 -9.834 0.000
2.766 9.834 0.000
0.000 0.000 10.479
Tb Ho Er Tm
2 10 4 2
direct
0.200 0.800 0.500 Tb
0.800 0.200 0.000 Tb
0.018 0.982 0.513 Ho
0.281 0.719 0.796 Ho
0.300 0.700 0.197 Ho
0.391 0.609 0.512 Ho
0.479 0.521 0.227 Ho
0.521 0.479 0.727 Ho
0.609 0.391 0.012 Ho
0.700 0.300 0.697 Ho
0.719 0.281 0.296 Ho
0.982 0.018 0.013 Ho
0.109 0.891 0.227 Er
0.113 0.887 0.806 Er
0.887 0.113 0.306 Er
0.891 0.109 0.727 Er
0.413 0.587 0.946 Tm
0.587 0.413 0.446 Tm
```



Record 4
TbHo3Er2Tm6 | PBE | relaxed

Calculated total energy (eV/atom): -4.503
Formation energy (eV/atom): 0.02

Cell and atoms, written as POSCAR:
```
TbHo3Er2Tm6
1.0
3.031 -5.244 0.000
3.031 5.244 0.000
-2.016 0.000 11.411
Tb Ho Er Tm
1 3 2 6
direct
0.000 0.000 0.000 Tb
0.167 0.833 0.500 Ho
0.500 0.500 0.500 Ho
0.833 0.167 0.500 Ho
0.333 0.667 0.000 Er
0.667 0.333 0.000 Er
0.084 0.417 0.250 Tm
0.250 0.250 0.750 Tm
0.417 0.084 0.250 Tm
0.583 0.916 0.750 Tm
0.750 0.750 0.250 Tm
0.916 0.583 0.750 Tm
```



Record 5
Tb2Ho2ErTm | PBE | relaxed

Calculated total energy (eV/atom): -4.504
Formation energy (eV/atom): 0.07

Cell and atoms, written as POSCAR:
```
Tb2Ho2ErTm
1.0
6.937 0.000 0.000
0.000 5.563 0.000
0.000 0.000 9.582
Tb Ho Er Tm
4 4 2 2
direct
0.250 0.000 0.157 Tb
0.250 0.500 0.675 Tb
0.750 0.000 0.843 Tb
0.750 0.500 0.325 Tb
0.000 0.500 0.000 Ho
0.250 0.000 0.823 Ho
0.500 0.500 0.000 Ho
0.750 0.000 0.177 Ho
0.000 0.000 0.500 Er
0.500 0.000 0.500 Er
0.250 0.500 0.341 Tm
0.750 0.500 0.659 Tm
```



Record 6
Tb2HoEr5Tm | PBE | relaxed

Calculated total energy (eV/atom): -4.417
Formation energy (eV/atom): 0.15

Cell and atoms, written as POSCAR:
```
Tb2HoEr5Tm
1.0
2.763 -9.826 0.000
2.763 9.826 0.000
0.000 0.000 10.466
Tb Ho Er Tm
4 2 10 2
direct
0.110 0.890 0.500 Tb
0.113 0.887 0.082 Tb
0.887 0.113 0.582 Tb
0.890 0.110 0.000 Tb
0.200 0.800 0.775 Ho
0.800 0.200 0.275 Ho
0.018 0.982 0.787 Er
0.281 0.719 0.072 Er
0.301 0.699 0.473 Er
0.389 0.611 0.786 Er
0.480 0.520 0.503 Er
0.520 0.480 0.003 Er
0.611 0.389 0.286 Er
0.699 0.301 0.973 Er
0.719 0.281 0.572 Er
0.982 0.018 0.287 Er
0.412 0.588 0.222 Tm
0.588 0.412 0.722 Tm
```



Record 7
Tb2HoErTm2 | PBE | relaxed

Calculated total energy (eV/atom): -4.398
Formation energy (eV/atom): 0.16

Cell and atoms, written as POSCAR:
```
Tb2HoErTm2
1.0
6.891 0.000 0.000
0.000 15.955 0.000
0.000 0.000 3.451
Tb Ho Er Tm
4 2 2 4
direct
0.250 0.158 0.000 Tb
0.250 0.658 0.500 Tb
0.750 0.342 0.500 Tb
0.750 0.842 0.000 Tb
0.000 0.000 0.500 Ho
0.500 0.500 0.000 Ho
0.000 0.500 0.000 Er
0.500 0.000 0.500 Er
0.250 0.346 0.500 Tm
0.250 0.846 0.000 Tm
0.750 0.154 0.000 Tm
0.750 0.654 0.500 Tm
```



Record 8
TbHoEr2Tm5 | PBE | relaxed

Calculated total energy (eV/atom): -4.357
Formation energy (eV/atom): 0.16

Cell and atoms, written as POSCAR:
```
TbHoEr2Tm5
1.0
2.756 -9.766 0.000
2.756 9.766 0.000
0.000 0.000 10.449
Tb Ho Er Tm
2 2 4 10
direct
0.200 0.800 0.500 Tb
0.800 0.200 0.000 Tb
0.414 0.586 0.944 Ho
0.586 0.414 0.444 Ho
0.109 0.891 0.226 Er
0.113 0.887 0.808 Er
0.887 0.113 0.308 Er
0.891 0.109 0.726 Er
0.018 0.982 0.515 Tm
0.282 0.718 0.796 Tm
0.300 0.700 0.198 Tm
0.392 0.608 0.512 Tm
0.479 0.521 0.226 Tm
0.521 0.479 0.726 Tm
0.608 0.392 0.012 Tm
0.700 0.300 0.698 Tm
0.718 0.282 0.296 Tm
0.982 0.018 0.015 Tm
```



Record 9
TbHo6Er2Tm | PBE | relaxed

Calculated total energy (eV/atom): -4.448
Formation energy (eV/atom): 0.12

Cell and atoms, written as POSCAR:
```
TbHo6Er2Tm
1.0
4.479 -7.434 0.000
4.479 7.434 0.000
-1.218 0.000 9.361
Tb Ho Er Tm
2 12 4 2
direct
0.024 0.976 0.750 Tb
0.976 0.024 0.250 Tb
0.018 0.568 0.685 Ho
0.124 0.752 0.056 Ho
0.248 0.876 0.444 Ho
0.291 0.505 0.881 Ho
0.432 0.982 0.815 Ho
0.495 0.709 0.619 Ho
0.505 0.291 0.381 Ho
0.568 0.018 0.185 Ho
0.709 0.495 0.119 Ho
0.752 0.124 0.556 Ho
0.876 0.248 0.944 Ho
0.982 0.432 0.315 Ho
0.198 0.304 0.545 Er
0.304 0.198 0.045 Er
0.696 0.802 0.955 Er
0.802 0.696 0.455 Er
0.409 0.591 0.250 Tm
0.591 0.409 0.750 Tm
```



Record 10
Tb2HoEr3Tm6 | PBE | relaxed

Calculated total energy (eV/atom): -4.506
Formation energy (eV/atom): 0.02

Cell and atoms, written as POSCAR:
```
Tb2HoEr3Tm6
1.0
3.033 -5.247 0.000
3.033 5.247 0.000
-2.017 0.000 11.414
Tb Ho Er Tm
2 1 3 6
direct
0.167 0.833 0.000 Tb
0.833 0.167 0.000 Tb
0.500 0.500 0.000 Ho
0.000 0.000 0.500 Er
0.333 0.667 0.500 Er
0.667 0.333 0.500 Er
0.083 0.416 0.749 Tm
0.251 0.251 0.251 Tm
0.416 0.083 0.749 Tm
0.584 0.917 0.251 Tm
0.749 0.749 0.749 Tm
0.917 0.584 0.251 Tm
```



Record 11
Tb2Ho6Er3Tm | PBE | relaxed

Calculated total energy (eV/atom): -4.554
Formation energy (eV/atom): 0.02

Cell and atoms, written as POSCAR:
```
Tb2Ho6Er3Tm
1.0
3.045 -5.267 0.000
3.045 5.267 0.000
-2.018 0.000 11.470
Tb Ho Er Tm
2 6 3 1
direct
0.167 0.833 0.000 Tb
0.833 0.167 0.000 Tb
0.083 0.416 0.749 Ho
0.251 0.251 0.251 Ho
0.416 0.083 0.749 Ho
0.584 0.917 0.251 Ho
0.749 0.749 0.749 Ho
0.917 0.584 0.251 Ho
0.000 0.000 0.500 Er
0.333 0.667 0.500 Er
0.667 0.333 0.500 Er
0.500 0.500 0.000 Tm
```



Record 12
Tb6Ho2Er3Tm | PBE | relaxed

Calculated total energy (eV/atom): -4.574
Formation energy (eV/atom): 0.02

Cell and atoms, written as POSCAR:
```
Tb6Ho2Er3Tm
1.0
3.057 -5.289 0.000
3.057 5.289 0.000
-2.027 0.000 11.492
Tb Ho Er Tm
6 2 3 1
direct
0.084 0.417 0.750 Tb
0.249 0.249 0.250 Tb
0.417 0.084 0.750 Tb
0.583 0.916 0.250 Tb
0.751 0.751 0.750 Tb
0.916 0.583 0.250 Tb
0.333 0.667 0.500 Ho
0.667 0.333 0.500 Ho
0.167 0.833 0.000 Er
0.500 0.500 0.000 Er
0.833 0.167 0.000 Er
0.000 0.000 0.500 Tm
```



Record 13
Tb3Ho2ErTm6 | PBE | relaxed

Calculated total energy (eV/atom): -4.514
Formation energy (eV/atom): 0.02

Cell and atoms, written as POSCAR:
```
Tb3Ho2ErTm6
1.0
3.039 -5.258 0.000
3.039 5.258 0.000
-2.021 0.000 11.425
Tb Ho Er Tm
3 2 1 6
direct
0.000 0.000 0.000 Tb
0.333 0.667 0.000 Tb
0.667 0.333 0.000 Tb
0.167 0.833 0.500 Ho
0.833 0.167 0.500 Ho
0.500 0.500 0.500 Er
0.084 0.417 0.251 Tm
0.250 0.250 0.749 Tm
0.417 0.084 0.251 Tm
0.583 0.916 0.749 Tm
0.750 0.750 0.251 Tm
0.916 0.583 0.749 Tm
```



Record 14
TbHoEr2Tm | PBE | relaxed

Calculated total energy (eV/atom): -4.162
Formation energy (eV/atom): 0.40

Cell and atoms, written as POSCAR:
```
TbHoEr2Tm
1.0
4.130 -5.643 0.000
4.130 5.643 0.000
0.000 0.000 7.138
Tb Ho Er Tm
2 2 4 2
direct
0.225 0.775 0.750 Tb
0.775 0.225 0.250 Tb
0.223 0.777 0.250 Ho
0.777 0.223 0.750 Ho
0.191 0.191 0.000 Er
0.191 0.191 0.500 Er
0.809 0.809 0.000 Er
0.809 0.809 0.500 Er
0.500 0.500 0.250 Tm
0.500 0.500 0.750 Tm
```



Record 15
Tb2Ho2ErTm4 | PBE | relaxed

Calculated total energy (eV/atom): -4.540
Formation energy (eV/atom): 0.00

Cell and atoms, written as POSCAR:
```
Tb2Ho2ErTm4
1.0
9.192 -1.769 0.000
9.192 1.769 0.000
-4.089 0.000 8.459
Tb Ho Er Tm
2 2 1 4
direct
0.148 0.148 0.165 Tb
0.852 0.852 0.835 Tb
0.334 0.334 0.499 Ho
0.666 0.666 0.501 Ho
0.000 0.000 0.500 Er
0.185 0.185 0.835 Tm
0.481 0.481 0.167 Tm
0.519 0.519 0.833 Tm
0.815 0.815 0.165 Tm
```



Record 16
Tb2Ho3ErTm6 | PBE | relaxed

Calculated total energy (eV/atom): -4.509
Formation energy (eV/atom): 0.02

Cell and atoms, written as POSCAR:
```
Tb2Ho3ErTm6
1.0
3.036 -5.252 0.000
3.036 5.252 0.000
-2.017 0.000 11.421
Tb Ho Er Tm
2 3 1 6
direct
0.167 0.833 0.000 Tb
0.833 0.167 0.000 Tb
0.000 0.000 0.500 Ho
0.333 0.667 0.500 Ho
0.667 0.333 0.500 Ho
0.500 0.500 0.000 Er
0.083 0.416 0.750 Tm
0.251 0.251 0.251 Tm
0.416 0.083 0.750 Tm
0.584 0.917 0.250 Tm
0.749 0.749 0.749 Tm
0.917 0.584 0.250 Tm
```



Record 17
TbHo2ErTm5 | PBE | relaxed

Calculated total energy (eV/atom): -4.364
Formation energy (eV/atom): 0.16

Cell and atoms, written as POSCAR:
```
TbHo2ErTm5
1.0
2.757 -9.775 0.000
2.757 9.775 0.000
0.000 0.000 10.454
Tb Ho Er Tm
2 4 2 10
direct
0.201 0.799 0.500 Tb
0.799 0.201 0.000 Tb
0.109 0.891 0.226 Ho
0.113 0.887 0.808 Ho
0.887 0.113 0.308 Ho
0.891 0.109 0.726 Ho
0.414 0.586 0.945 Er
0.586 0.414 0.445 Er
0.019 0.981 0.515 Tm
0.282 0.718 0.795 Tm
0.301 0.699 0.198 Tm
0.391 0.609 0.511 Tm
0.479 0.521 0.226 Tm
0.521 0.479 0.726 Tm
0.609 0.391 0.011 Tm
0.699 0.301 0.698 Tm
0.718 0.282 0.295 Tm
0.981 0.019 0.015 Tm
```



Record 18
TbHo2Er6Tm3 | PBE | relaxed

Calculated total energy (eV/atom): -4.525
Formation energy (eV/atom): 0.02

Cell and atoms, written as POSCAR:
```
TbHo2Er6Tm3
1.0
3.034 -5.247 0.000
3.034 5.247 0.000
-2.015 0.000 11.427
Tb Ho Er Tm
1 2 6 3
direct
0.000 0.000 0.000 Tb
0.333 0.667 0.000 Ho
0.667 0.333 0.000 Ho
0.084 0.418 0.251 Er
0.249 0.249 0.749 Er
0.418 0.084 0.251 Er
0.582 0.916 0.749 Er
0.751 0.751 0.251 Er
0.916 0.582 0.749 Er
0.167 0.833 0.500 Tm
0.500 0.500 0.500 Tm
0.833 0.167 0.500 Tm
```



Record 19
Tb5HoEr2Tm | PBE | relaxed

Calculated total energy (eV/atom): -4.438
Formation energy (eV/atom): 0.15

Cell and atoms, written as POSCAR:
```
Tb5HoEr2Tm
1.0
2.774 -9.898 0.000
2.774 9.898 0.000
0.000 0.000 10.510
Tb Ho Er Tm
10 2 4 2
direct
0.018 0.982 0.500 Tb
0.281 0.719 0.788 Tb
0.300 0.700 0.186 Tb
0.388 0.612 0.501 Tb
0.480 0.520 0.219 Tb
0.520 0.480 0.719 Tb
0.612 0.388 0.001 Tb
0.700 0.300 0.686 Tb
0.719 0.281 0.288 Tb
0.982 0.018 0.000 Tb
0.199 0.801 0.489 Ho
0.801 0.199 0.989 Ho
0.110 0.890 0.216 Er
0.114 0.886 0.794 Er
0.886 0.114 0.294 Er
0.890 0.110 0.716 Er
0.411 0.589 0.937 Tm
0.589 0.411 0.437 Tm
```